Density functional theory data (PBE-GGA) for a geometry-optimized DyTm4Cu4 structure.

Calculated values
- Total magnetic moment: 0.00 μB/cell
- DFT formation energy: -0.05 eV/atom

Cell lengths 8.677, 8.677, 5.666 Å; angles 90.00, 90.00, 90.00 degrees
Fractional coordinates of all 18 atoms:
Dy  0.250  0.250  0.250
Dy  0.750  0.750  0.750
Tm  0.065  0.662  0.152
Tm  0.162  0.935  0.652
Tm  0.338  0.565  0.652
Tm  0.435  0.838  0.152
Tm  0.565  0.162  0.848
Tm  0.662  0.435  0.348
Tm  0.838  0.065  0.348
Tm  0.935  0.338  0.848
Cu  0.025  0.615  0.637
Cu  0.115  0.975  0.137
Cu  0.385  0.525  0.137
Cu  0.475  0.885  0.637
Cu  0.525  0.115  0.363
Cu  0.615  0.475  0.863
Cu  0.885  0.025  0.863
Cu  0.975  0.385  0.363

Density functional theory data (PBE-GGA) for a geometry-optimized CeDyGe4 structure.

Calculated values
- Total magnetic moment: 0.31 μB/cell
- DFT formation energy: -0.34 eV/atom

Cell lengths 5.620, 5.620, 5.620 Å; angles 60.00, 60.00, 60.00 degrees
Fractional coordinates of all 6 atoms:
Ce  0.000  0.000  0.000
Dy  0.750  0.750  0.750
Ge  0.376  0.376  0.376
Ge  0.376  0.376  0.871
Ge  0.376  0.871  0.376
Ge  0.871  0.376  0.376

Density functional theory data (PBE-GGA) for a geometry-optimized BaCr4W structure.

Calculated values
- Total magnetic moment: 0.00 μB/cell
- DFT formation energy: 1.08 eV/atom

Cell lengths 5.101, 5.101, 5.101 Å; angles 60.00, 60.00, 60.00 degrees
Fractional coordinates of all 6 atoms:
Ba  0.000  0.000  0.000
Cr  0.130  0.623  0.623
Cr  0.623  0.130  0.623
Cr  0.623  0.623  0.130
Cr  0.623  0.623  0.623
W  0.250  0.250  0.250

Density functional theory data (PBE-GGA) for a geometry-optimized Tm7MgTl2 structure.

Calculated values
- Total magnetic moment: 0.00 μB/cell
- DFT formation energy: 0.37 eV/atom

Cell lengths 8.776, 8.776, 5.283 Å; angles 90.00, 90.00, 118.56 degrees
Fractional coordinates of all 10 atoms:
Tm  0.000  0.000  0.000
Tm  0.201  0.435  0.000
Tm  0.275  0.725  0.500
Tm  0.435  0.201  0.000
Tm  0.565  0.799  0.000
Tm  0.725  0.275  0.500
Tm  0.799  0.565  0.000
Mg  0.500  0.500  0.500
Tl  0.196  0.804  0.000
Tl  0.804  0.196  0.000